# 1
# Y2FeMo, relaxed, DFT PBE
data_Y2FeMo
_cell_length_a 4.266
_cell_length_b 4.266
_cell_length_c 9.328
_cell_angle_alpha 90.00
_cell_angle_beta 90.00
_cell_angle_gamma 90.00
_space_group_name_H-M_alt 'I -4 m 2'
_space_group_IT_number 119
_space_group_name_Hall 'I -4 -2'
loop_
_atom_site_label
_atom_site_fract_x
_atom_site_fract_y
_atom_site_fract_z
_atom_site_occupancy
Y1 0.000 0.000 0.000 1
Y2 0.000 0.500 0.250 1
Fe1 0.000 0.500 0.750 1
Mo1 0.000 0.000 0.500 1
# Volume (Å³ per atom): 21.22
# Energy of formation from the pure elements (eV per atom): 0.5448



# 2
# LaZrRu3, relaxed, DFT PBE
data_LaZrRu3
_cell_length_a 4.763
_cell_length_b 4.763
_cell_length_c 4.763
_cell_angle_alpha 90.00
_cell_angle_beta 90.00
_cell_angle_gamma 90.00
_space_group_name_H-M_alt 'P m -3 m'
_space_group_IT_number 221
_space_group_name_Hall '-P 4 2 3'
loop_
_atom_site_label
_atom_site_fract_x
_atom_site_fract_y
_atom_site_fract_z
_atom_site_occupancy
La1 0.000 0.000 0.000 1
Zr1 0.500 0.500 0.500 1
Ru1 0.000 0.000 0.500 1
# Volume (Å³ per atom): 21.61
# Energy of formation from the pure elements (eV per atom): 1.3374



# 3
# Ce2Hg3Au, relaxed, DFT PBE
data_Ce2Hg3Au
_cell_length_a 3.364
_cell_length_b 5.016
_cell_length_c 8.695
_cell_angle_alpha 90.00
_cell_angle_beta 90.00
_cell_angle_gamma 90.00
_space_group_name_H-M_alt 'P m m 2'
_space_group_IT_number 25
loop_
_space_group_symop_operation_xyz
'x,y,z'
'-x,-y,z'
'-x,y,z'
'x,-y,z'
loop_
_atom_site_label
_atom_site_fract_x
_atom_site_fract_y
_atom_site_fract_z
_atom_site_occupancy
Ce1 0.000 0.000 0.000 1
Ce2 0.000 0.500 0.478 1
Hg1 0.500 0.000 0.652 1
Hg2 0.500 0.500 0.157 1
Hg3 0.500 0.500 0.821 1
Au1 0.500 0.000 0.322 1
# Volume (Å³ per atom): 24.45
# Energy of formation from the pure elements (eV per atom): -0.4515



# 4
# Ca5Ac7, relaxed, DFT PBE
data_Ca5Ac7
_cell_length_a 16.682
_cell_length_b 5.643
_cell_length_c 12.484
_cell_angle_alpha 90.00
_cell_angle_beta 116.42
_cell_angle_gamma 90.00
_space_group_name_H-M_alt 'C 1 m 1'
_space_group_IT_number 8
loop_
_space_group_symop_operation_xyz
'x,y,z'
'x,-y,z'
'x+1/2,y+1/2,z'
'x+1/2,-y+1/2,z'
loop_
_atom_site_label
_atom_site_fract_x
_atom_site_fract_y
_atom_site_fract_z
_atom_site_occupancy
Ca1 0.000 0.000 0.000 1
Ca2 0.082 0.500 0.248 1
Ca3 0.166 0.000 0.497 1
Ca4 0.331 0.500 0.496 1
Ca5 0.416 0.500 0.248 1
Ac1 0.083 0.000 0.749 1
Ac2 0.168 0.500 0.997 1
Ac3 0.247 0.500 0.749 1
Ac4 0.253 0.000 0.245 1
Ac5 0.327 0.000 0.992 1
Ac6 0.418 0.000 0.751 1
Ac7 0.497 0.000 0.502 1
# Volume (Å³ per atom): 43.85
# Energy of formation from the pure elements (eV per atom): 0.0361



# 5
# LiTa2Pt, relaxed, DFT PBE
data_LiTa2Pt
_cell_length_a 2.922
_cell_length_b 4.806
_cell_length_c 9.338
_cell_angle_alpha 90.00
_cell_angle_beta 90.00
_cell_angle_gamma 90.00
_space_group_name_H-M_alt 'I m m 2'
_space_group_IT_number 44
loop_
_space_group_symop_operation_xyz
'x,y,z'
'-x,-y,z'
'-x,y,z'
'x,-y,z'
'x+1/2,y+1/2,z+1/2'
'-x+1/2,-y+1/2,z+1/2'
'-x+1/2,y+1/2,z+1/2'
'x+1/2,-y+1/2,z+1/2'
loop_
_atom_site_label
_atom_site_fract_x
_atom_site_fract_y
_atom_site_fract_z
_atom_site_occupancy
Li1 0.000 0.000 0.000 1
Ta1 0.000 0.000 0.528 1
Ta2 0.000 0.500 0.774 1
Pt1 0.000 0.500 0.276 1
# Volume (Å³ per atom): 16.39
# Energy of formation from the pure elements (eV per atom): -0.0782



# 6
# POs2Se, relaxed, DFT PBE
data_POs2Se
_cell_length_a 6.113
_cell_length_b 6.113
_cell_length_c 6.113
_cell_angle_alpha 90.00
_cell_angle_beta 90.00
_cell_angle_gamma 90.00
_space_group_name_H-M_alt 'F m -3 m'
_space_group_IT_number 225
_space_group_name_Hall '-F 4 2 3'
loop_
_atom_site_label
_atom_site_fract_x
_atom_site_fract_y
_atom_site_fract_z
_atom_site_occupancy
P1 0.000 0.000 0.000 1
Os1 0.250 0.250 0.250 1
Se1 0.000 0.000 0.500 1
# Volume (Å³ per atom): 14.27
# Formation energy (no corrections) (eV per atom): 0.55